# 1
TaRh2Au: optimized geometry, GGA-PBE.

The calculation puts the spin magnetization at 0.0 μB per formula unit. The value obtained for the formation energy is -0.1830 eV/atom.

It has space group R-3m (No. 166, hexagonal axes), with a = 2.8933 Å, b = 2.8933 Å, c = 27.0143 Å, α = 90.00°, β = 90.00° and γ = 120.00°. The asymmetric unit holds Ta at (0.0000, 0.0000, 0.0000), Rh at (0.0000, 0.0000, 0.2552) and Au at (0.0000, 0.0000, 0.5000).


# 2
LaSmTmGa: optimized geometry, GGA-PBE.

The calculation puts the spin magnetization at 0.3 μB per formula unit. The value obtained for the formation energy is -0.1222 eV/atom.

It has space group F-43m (No. 216), with a = 7.681 Å, b = 7.681 Å, c = 7.681 Å, α = 90.00°, β = 90.00° and γ = 90.00°. The asymmetric unit holds La at (0.000, 0.000, 0.000), Sm at (0.000, 0.000, 0.500), Tm at (0.250, 0.250, 0.250) and Ga at (0.250, 0.250, 0.750).